## KCaTaO4 (PBE)

Data for a geometry-optimized KCaTaO4 structure.

```
KCaTaO4
1.0
6.1837 0.0000 0.0000
0.0000 6.2662 0.0000
-1.8141 0.0000 7.1708
K Ca Ta O
2 2 2 8
Direct
0.2058 0.2500 0.4263
0.7942 0.7500 0.5737
0.3173 0.2500 0.9566
0.6827 0.7500 0.0434
0.2127 0.7500 0.1553
0.7873 0.2500 0.8447
0.0156 0.7500 0.3109
0.0168 0.7500 0.9224
0.4149 0.5211 0.1759
0.4149 0.9789 0.1759
0.5851 0.0211 0.8241
0.5851 0.4789 0.8241
0.9832 0.2500 0.0776
0.9844 0.2500 0.6891
```

Values from the calculation:
- energy (eV per atom) = -7.636
- crystal system = monoclinic
- DOS(E_F) (states/eV/f.u.) = 0.0